No. 1
Compound: TaFe
Source: Alexandria
Functional: PBE
Structure: optimized geometry

Cell: 3.0765 4.0340 14.0999 Å, 90.00 90.00 90.00°
Closest atoms and distances in Å follow each position.
Fractional positions:
Ta 0.0000 0.0000 0.5000  8 Fe 2.54-2.83
Ta 0.5000 0.5000 0.0000  8 Fe 2.54-2.83
Ta 0.0000 0.5000 0.1813  5 Fe 2.50-2.60
Ta 0.0000 0.5000 0.8187  5 Fe 2.50-2.60
Ta 0.5000 0.0000 0.6813  5 Fe 2.50-2.60
Ta 0.5000 0.0000 0.3187  5 Fe 2.50-2.60
Fe 0.0000 0.0000 0.0000  4 Fe 2.52, 4 Ta 2.54
Fe 0.5000 0.0000 0.1411  5 Ta 2.50-2.60, 2 Fe 2.52
Fe 0.5000 0.0000 0.8589  5 Ta 2.50-2.60, 2 Fe 2.52
Fe 0.0000 0.5000 0.3589  5 Ta 2.50-2.60, 2 Fe 2.52
Fe 0.0000 0.5000 0.6411  5 Ta 2.50-2.60, 2 Fe 2.52
Fe 0.5000 0.5000 0.5000  4 Fe 2.52, 4 Ta 2.54

DOS at the Fermi energy, states/eV per cell: 10.6
E_tot, eV/atom: -10.169

No. 2
Compound: Ta6Fe7
Source: Alexandria
Functional: PBE
Structure: optimized geometry

Cell: 9.3634 9.3634 9.3634 Å, 30.08 30.08 30.08°
Closest atoms and distances in Å follow each position.
Fractional positions:
Ta 0.3341 0.3341 0.3341  9 Ta 2.81-3.11, 6 Fe 2.82-2.85
Ta 0.9504 0.9504 0.9504  2 Ta 2.66-2.77, 6 Fe 2.68
Ta 0.1529 0.1529 0.1529  12 Fe 2.76-2.93, 4 Ta 2.77-2.90
Ta 0.6659 0.6659 0.6659  9 Ta 2.81-3.11, 6 Fe 2.82-2.85
Ta 0.0496 0.0496 0.0496  2 Ta 2.66-2.77, 6 Fe 2.68
Ta 0.8471 0.8471 0.8471  12 Fe 2.76-2.93, 4 Ta 2.77-2.90
Fe 0.4081 0.4081 0.9082  5 Fe 2.43-2.45, 2 Ta 2.68
Fe 0.5000 0.5000 0.5000  6 Fe 2.45
Fe 0.5919 0.0918 0.5919  5 Fe 2.43-2.45, 2 Ta 2.68
Fe 0.4081 0.9082 0.4081  5 Fe 2.43-2.45, 2 Ta 2.68
Fe 0.0918 0.5919 0.5919  5 Fe 2.43-2.45, 2 Ta 2.68
Fe 0.5919 0.5919 0.0918  5 Fe 2.43-2.45, 2 Ta 2.68
Fe 0.9082 0.4081 0.4081  5 Fe 2.43-2.45, 2 Ta 2.68

DOS at the Fermi energy, states/eV per cell: 9.4
E_tot, eV/atom: -10.239

Summary of E_form in eV/atom
-0.011, -0.212
(order as listed above)